Y2VNO: optimized geometry, GGA+U.

Cell: 4.896 3.753 4.896 Å, 90.00 90.00 90.00°
Site moments in Bohr magnetons follow the coordinates.
Sites, in units of the cell vectors:
N1 0.000 0.000 0.000  -0.13
V1 0.000 0.500 0.000  2.23
Y1 0.000 0.000 0.500  0.13
Y2 0.500 0.000 0.000  0.04
O1 0.500 0.500 0.500  0.10

Properties
- E_tot: -7.2879 eV per atom
- Total magnetic moment: 2.890 μB/cell
- Calculated volume: 90 Å³ per cell